# 1
TlCo2S | PBE | relaxed

Values from the calculation:
uncorrected formation energy	0.596	eV per atom
total DFT energy (no corrections)	-18.3	eV per cell
excess energy over the best structure of this formula in the dataset	0.424	eV per atom

Lattice parameters (Å, degrees): 4.404 4.404 4.404 60.00 60.00 60.00
Sites, in units of the cell vectors:
Tl: 0.500 0.500 0.500
Co: 0.250 0.250 0.250
Co: 0.750 0.750 0.750
S: 0.000 0.000 0.000

# 2
Tl2CoS2 | PBE | relaxed

Values from the calculation:
uncorrected formation energy	0.047	eV per atom
total DFT energy (no corrections)	-19.9	eV per cell
excess energy over the best structure of this formula in the dataset	0.021	eV per atom

Lattice parameters (Å, degrees): 6.048 6.048 6.931 115.87 115.87 90.00
Sites, in units of the cell vectors:
Tl: 0.250 0.750 0.500
Tl: 0.750 0.250 0.500
Co: 0.000 0.000 0.000
S: 0.192 0.192 0.383
S: 0.808 0.808 0.617

# 3
TlCo4S8 | PBE | relaxed

Values from the calculation:
uncorrected formation energy	-0.305	eV per atom
total DFT energy (no corrections)	-67.8	eV per cell

Lattice parameters (Å, degrees): 6.555 6.555 8.318 66.80 66.80 60.00
Sites, in units of the cell vectors:
Tl: 0.500 0.500 0.500
Co: 0.500 0.000 0.000
Co: 0.500 0.500 0.000
Co: 0.000 0.500 0.000
Co: 0.000 0.000 0.000
S: 0.778 0.280 0.163
S: 0.720 0.222 0.837
S: 0.222 0.720 0.837
S: 0.222 0.222 0.837
S: 0.278 0.278 0.167
S: 0.722 0.722 0.833
S: 0.778 0.778 0.163
S: 0.280 0.778 0.163

# 4
TlCo2S | PBE | relaxed

Values from the calculation:
uncorrected formation energy	0.172	eV per atom
total DFT energy (no corrections)	-40.0	eV per cell
excess energy over the best structure of this formula in the dataset	0.000	eV per atom

Lattice parameters (Å, degrees): 4.595 4.595 7.763 72.79 72.79 90.00
Sites, in units of the cell vectors:
Tl: 0.000 0.000 0.000
Tl: 0.750 0.250 0.500
Co: 0.455 0.125 0.250
Co: 0.295 0.625 0.250
Co: 0.375 0.545 0.750
Co: 0.875 0.705 0.750
S: 0.500 0.500 0.000
S: 0.250 0.750 0.500

# 5
U2Tl3CoS6 | PBE | relaxed

Values from the calculation:
uncorrected formation energy	-0.781	eV per atom
total DFT energy (no corrections)	-70.9	eV per cell

Lattice parameters (Å, degrees): 6.575 6.575 8.030 97.89 97.89 119.90
Sites, in units of the cell vectors:
U: 0.334 0.666 0.000
U: 0.666 0.334 0.000
Tl: 0.171 0.829 0.500
Tl: 0.829 0.171 0.500
Tl: 0.500 0.500 0.500
Co: 0.000 0.000 0.000
S: 0.937 0.621 0.811
S: 0.747 0.747 0.193
S: 0.063 0.379 0.189
S: 0.621 0.937 0.811
S: 0.253 0.253 0.807
S: 0.379 0.063 0.189

# 6
UTl2CoS4 | PBE | relaxed

Values from the calculation:
uncorrected formation energy	-0.485	eV per atom
total DFT energy (no corrections)	-87.0	eV per cell

Lattice parameters (Å, degrees): 6.259 7.463 10.388 82.74 72.47 65.21
Sites, in units of the cell vectors:
U: 0.750 0.500 0.500
U: 0.000 0.000 0.000
Tl: 0.174 0.000 0.652
Tl: 0.826 0.000 0.348
Tl: 0.576 0.500 0.848
Tl: 0.924 0.500 0.152
Co: 0.250 0.500 0.500
Co: 0.500 0.000 0.000
S: 0.368 0.768 0.080
S: 0.215 0.232 0.920
S: 0.864 0.768 0.920
S: 0.553 0.232 0.080
S: 0.382 0.732 0.420
S: 0.535 0.268 0.580
S: 0.886 0.732 0.580
S: 0.197 0.268 0.420

# 7
UTl3Co2S6 | PBE | relaxed

Values from the calculation:
uncorrected formation energy	-0.607	eV per atom
total DFT energy (no corrections)	-64.7	eV per cell

Lattice parameters (Å, degrees): 5.940 5.940 8.559 96.98 96.98 120.02
Sites, in units of the cell vectors:
U: 0.000 0.000 0.000
Tl: 0.168 0.832 0.500
Tl: 0.832 0.168 0.500
Tl: 0.500 0.500 0.500
Co: 0.333 0.667 0.000
Co: 0.667 0.333 0.000
S: 0.943 0.568 0.837
S: 0.682 0.682 0.162
S: 0.057 0.432 0.163
S: 0.568 0.943 0.837
S: 0.318 0.318 0.838
S: 0.432 0.057 0.163

# 8
U2TlCoS4 | PBE | relaxed

Values from the calculation:
uncorrected formation energy	-1.035	eV per atom
total DFT energy (no corrections)	-113.7	eV per cell

Lattice parameters (Å, degrees): 3.834 7.167 13.333 90.00 90.00 105.51
Sites, in units of the cell vectors:
U: 0.365 0.730 0.559
U: 0.635 0.270 0.059
U: 0.635 0.270 0.441
U: 0.365 0.730 0.941
Tl: 0.098 0.197 0.750
Tl: 0.902 0.803 0.250
Co: 0.829 0.658 0.750
Co: 0.171 0.342 0.250
S: 0.262 0.524 0.113
S: 0.738 0.476 0.613
S: 0.738 0.476 0.887
S: 0.262 0.524 0.387
S: 0.000 0.000 0.500
S: 0.000 0.000 0.000
S: 0.416 0.832 0.750
S: 0.584 0.168 0.250

Repeat the third record exactly.
TlCo4S8 | PBE | relaxed

Values from the calculation:
uncorrected formation energy	-0.305	eV per atom
total DFT energy (no corrections)	-67.8	eV per cell

Lattice parameters (Å, degrees): 6.555 6.555 8.318 66.80 66.80 60.00
Sites, in units of the cell vectors:
Tl: 0.500 0.500 0.500
Co: 0.500 0.000 0.000
Co: 0.500 0.500 0.000
Co: 0.000 0.500 0.000
Co: 0.000 0.000 0.000
S: 0.778 0.280 0.163
S: 0.720 0.222 0.837
S: 0.222 0.720 0.837
S: 0.222 0.222 0.837
S: 0.278 0.278 0.167
S: 0.722 0.722 0.833
S: 0.778 0.778 0.163
S: 0.280 0.778 0.163

Look up the total DFT energy (no corrections) of the second one.
-19.9 eV per cell

total DFT energy (no corrections) of number 6 (UTl2CoS4)?
-87.0 eV per cell

Number 5 is which compound?
U2Tl3CoS6